A geometry-optimized TaReP3 structure, computed with GGA-PBE.

abc: 4.769 4.769 4.769
angles: 90.00 90.00 90.00
Atoms (fractional coordinates):
Re: 0.500 0.500 0.500
P: 0.500 0.000 0.000
Ta: 0.000 0.000 0.000
P: 0.000 0.500 0.000
P: 0.000 0.000 0.500

## Properties
magnetization = 3.6 μB per cell
formation energy = 1.313 eV per atom
density of states at the Fermi level = 2.29 states/eV/f.u.

***

A geometry-optimized Ta2ReP structure, computed with GGA-PBE.

abc: 6.118 6.118 3.329
angles: 90.00 90.00 148.67
Atoms (fractional coordinates):
Ta: 0.411 0.589 0.500
Re: 0.683 0.317 0.500
P: 0.832 0.168 0.000
Ta: 0.063 0.937 0.000

## Properties
magnetization = 0.0 μB per cell
formation energy = -0.439 eV per atom
density of states at the Fermi level = 1.24 states/eV/f.u.

***

no.,ΔE to the lowest computed polymorph (eV per atom)
1,0.212
2,0.000